Material: Na8NiO6
Method: DFT, PBE+U
State: optimized geometry

## Properties
Total magnetic moment ... 8.2 μB per cell
Raw total energy ... -4.00 eV per atom
Density of states at the Fermi level ... 15.69 states/eV/f.u.
Calculated volume ... 445 Å³ per cell

Geometry as CIF:
```
data_Na8NiO6
_space_group_name_H-M_alt 'P 63 c m'
_space_group_IT_number 185
_space_group_name_Hall 'P 6c -2'
_cell_length_a 6.3213
_cell_length_b 6.3213
_cell_length_c 12.8485
_cell_angle_alpha 90.00
_cell_angle_beta 90.00
_cell_angle_gamma 120.00
loop_
_atom_site_label
_atom_site_fract_x
_atom_site_fract_y
_atom_site_fract_z
_atom_site_occupancy
Na1 0.0000 0.2900 0.0000 1
Na2 0.0000 0.3815 0.3479 1
Na3 0.3333 0.6667 0.1434 1
Ni1 0.0000 0.0000 0.2233 1
O1 0.0000 0.0000 0.3761 1
O2 0.0000 0.2802 0.1786 1
O3 0.3333 0.6667 0.4482 1
```